Material: Na2FeCu
Method: DFT, PBE
State: optimized geometry

Structure (POSCAR):
```
Na2FeCu
1.0
-4.3775 0.0548 2.0651
-1.8447 4.1591 1.6522
-3.7294 2.0713 -2.2874
Fe Cu Na
1 1 2
direct
0.0000 0.0000 0.0000
0.5000 0.5000 0.5000
0.7500 0.7500 0.7500
0.2500 0.2500 0.2500
```

## Properties
Energy relative to the lowest polymorph listed for this composition, meV/atom: 8
DFT formation energy, eV per atom: 0.85
Space-group type: Fm-3m
Raw total energy, eV per atom: -2.95
Volume, Å³/cell: 80.2